[1]
First-principles (meta-GGA SCAN) data for a crystal of NaH5CO4 relaxed with PBEsol, as listed in the Alexandria database.

Cell: 7.1169 7.9917 8.5153 Å, 90.00 90.00 116.44°
Element x y z (fractional)
H1 0.4831 0.2686 0.7903
H2 0.0887 0.1774 0.2280
H3 0.0169 0.7314 0.2903
H4 0.8343 0.6686 0.9014
H5 0.5887 0.1774 0.2720
H6 0.7145 0.7314 0.2903
H7 0.7651 0.5302 0.6331
H8 0.6657 0.3314 0.4014
H9 0.2145 0.7314 0.2097
H10 0.2651 0.5302 0.8669
H11 0.3343 0.6686 0.5986
H12 0.9113 0.8226 0.7720
H13 0.1657 0.3314 0.0986
H14 0.2855 0.2686 0.7097
H15 0.9831 0.2686 0.7097
H16 0.5169 0.7314 0.2097
H17 0.2349 0.4698 0.3669
H18 0.4113 0.8226 0.7280
H19 0.7349 0.4698 0.1331
H20 0.7855 0.2686 0.7903
O1 0.4033 0.8065 0.9249
O2 0.8415 0.1830 0.7500
O3 0.2874 0.5748 0.1033
O4 0.5964 0.1928 0.3891
O5 0.7126 0.4252 0.8967
O6 0.3415 0.1830 0.7500
O7 0.6585 0.8170 0.2500
O8 0.5967 0.1935 0.0751
O9 0.9036 0.8072 0.8891
O10 0.4036 0.8072 0.6109
O11 0.1585 0.8170 0.2500
O12 0.7874 0.5748 0.3967
O13 0.2126 0.4252 0.6033
O14 0.0967 0.1935 0.4249
O15 0.9033 0.8065 0.5751
O16 0.0964 0.1928 0.1109
C1 0.3182 0.6365 0.9629
C2 0.6818 0.3635 0.0371
C3 0.1818 0.3635 0.4629
C4 0.8182 0.6365 0.5371
Na1 0.7321 0.0000 0.5000
Na2 0.7679 0.0000 0.0000
Na3 0.2321 0.0000 0.0000
Na4 0.2679 0.0000 0.5000

Results
The raw total energy comes out at -6.328 eV/atom. The theoretical density comes out at 1593 kg/m3. The spin magnetization comes out at 0.000 μB per cell.

=====

[2]
First-principles (meta-GGA SCAN) data for a crystal of HfTiFe2 relaxed with PBEsol, as listed in the Alexandria database.

Cell: 4.2496 4.2496 4.2496 Å, 60.00 60.00 60.00°
Element x y z (fractional)
Fe1 0.7500 0.7500 0.7500
Fe2 0.2500 0.2500 0.2500
Hf1 0.5000 0.5000 0.5000
Ti1 0.0000 0.0000 0.0000

Results
The raw total energy comes out at -29.050 eV/atom. The value obtained for the energy of formation is -1.24 eV per formula unit. The theoretical density comes out at 10344 kg/m3. The spin magnetization comes out at 0.000 μB per cell.